No. 1
{"formula": "SrZrNi2", "functional": "PBE-GGA", "state": "relaxed", "cell": [[5.6999, 0.0266, 0.0000], [2.9515, 4.8763, 0.0000], [-4.3257, -2.4514, 2.7872]], "species": ["Ni", "Zr", "Ni", "Sr"], "frac_coords": [[0.0000, 0.0000, 0.0000], [0.7500, 0.2500, 0.5000], [0.2500, 0.7500, 0.5000], [0.5000, 0.5000, 0.0000]], "final_energy_ev_per_fu": -20.44, "total_magnetization_mub_per_cell": 0.000, "e_above_lowest_polymorph_kj_per_mol_atoms": 49.7}

No. 2
{"formula": "SrZrNi4", "functional": "PBE-GGA", "state": "relaxed", "cell": [[-0.1154, -3.8372, -3.3165], [-1.5452, -4.5961, 1.4914], [-4.4499, -1.8267, -1.6117]], "species": ["Ni", "Ni", "Zr", "Ni", "Ni", "Sr"], "frac_coords": [[0.3742, 0.3742, 0.8773], [0.3742, 0.3742, 0.3742], [0.0000, 0.0000, 0.0000], [0.8773, 0.3742, 0.3742], [0.3742, 0.8773, 0.3742], [0.7500, 0.7500, 0.7500]], "final_energy_ev_per_fu": -33.86, "total_magnetization_mub_per_cell": 0.000}

No. 3
{"formula": "TaNi", "functional": "PBE-GGA", "state": "relaxed", "cell": [[-2.5896, 2.8104, -2.1036], [-3.4229, -1.4682, -2.2709], [-4.0511, 0.7326, 1.4427]], "species": ["Ni", "Ta", "Ni", "Ta"], "frac_coords": [[0.0000, 0.0000, 0.0000], [0.7500, 0.7500, 0.7500], [0.2500, 0.2500, 0.2500], [0.5000, 0.5000, 0.5000]], "final_energy_ev_per_fu": -17.35, "total_magnetization_mub_per_cell": 1.209}

No. 4
{"formula": "Ta3Ni", "functional": "PBE-GGA", "state": "relaxed", "cell": [[5.1760, -0.0144, -0.0270], [2.1367, 4.7144, 0.0270], [-3.2458, -2.9888, 2.7063]], "species": ["Ta", "Ni", "Ta", "Ta"], "frac_coords": [[0.0000, 0.5000, 0.5000], [0.5000, 0.0000, 0.5000], [0.2564, 0.2564, 0.0000], [0.7436, 0.7436, 0.0000]], "final_energy_ev_per_fu": -41.28, "total_magnetization_mub_per_cell": 0.000}

No. 5
{"formula": "TaNi", "functional": "PBE-GGA", "state": "relaxed", "cell": [[2.8137, 0.0000, 0.0000], [0.0000, 8.9304, 0.0213], [1.4068, -0.4490, 2.3950]], "species": ["Ni", "Ta", "Ta", "Ni"], "frac_coords": [[0.0044, 0.9869, 0.9913], [0.2583, 0.2252, 0.4835], [0.4917, 0.5248, 0.0165], [0.7456, 0.7631, 0.5087]], "final_energy_ev_per_fu": -17.35, "total_magnetization_mub_per_cell": 0.000}

No. 6
{"formula": "Ta8Ni", "functional": "PBE-GGA", "state": "relaxed", "cell": [[3.3886, 0.0000, 0.0000], [1.6943, 6.8211, 0.0000], [-1.6943, 0.0000, 6.8211]], "species": ["Ta", "Ni", "Ta", "Ta", "Ta", "Ta", "Ta", "Ta", "Ta"], "frac_coords": [[0.6636, 0.0000, 0.3272], [0.0000, 0.0000, 0.0000], [0.0000, 0.3302, 0.3302], [0.3364, 0.0000, 0.6728], [0.6636, 0.6728, 0.0000], [0.3302, 0.6698, 0.3302], [0.6698, 0.3302, 0.6698], [0.3364, 0.3272, 0.0000], [0.0000, 0.6698, 0.6698]], "final_energy_ev_per_fu": -100.88, "total_magnetization_mub_per_cell": 0.000}